1.
This record from Alexandria describes an optimized crystal structure of Sr2TaNiN. The functional is PBE.

abc: 5.704 5.704 3.500
angles: 90.00 90.00 90.00
Element x y z (fractional)
Sr1 0.000 0.500 0.000
Sr2 0.500 0.000 0.000
Ta1 0.000 0.000 0.500
Ni1 0.500 0.500 0.500
N1 0.500 0.500 0.000

Summary:
ρ in g/cm³: 6.25
Raw total energy in eV/atom: -5.349
Formation energy from raw total energies in eV per atom: 0.515
Size of the total moment in μB per cell: 2.72



2.
This record from Alexandria describes an optimized crystal structure of Sr2InHPt. The functional is PBE.

abc: 5.602 5.602 3.747
angles: 90.00 90.00 90.00
Element x y z (fractional)
Sr1 0.000 0.500 0.000
Sr2 0.500 0.000 0.000
In1 0.000 0.000 0.500
H1 0.500 0.500 0.000
Pt1 0.500 0.500 0.500

Summary:
ρ in g/cm³: 6.87
Raw total energy in eV/atom: -3.606
Size of the total moment in μB per cell: 0.00



3.
This record from Alexandria describes an optimized crystal structure of SrCu3Te3. The functional is PBE.

abc: 7.270 7.270 7.270
angles: 90.00 90.00 90.00
Element x y z (fractional)
Sr1 0.000 0.000 0.000
Sr2 0.500 0.500 0.500
Cu1 0.000 0.250 0.500
Cu2 0.000 0.750 0.500
Cu3 0.250 0.500 0.000
Cu4 0.500 0.000 0.250
Cu5 0.500 0.000 0.750
Cu6 0.750 0.500 0.000
Te1 0.000 0.500 0.250
Te2 0.000 0.500 0.750
Te3 0.250 0.000 0.500
Te4 0.500 0.250 0.000
Te5 0.500 0.750 0.000
Te6 0.750 0.000 0.500

Summary:
ρ in g/cm³: 5.71
Raw total energy in eV/atom: -3.713
Formation energy from raw total energies in eV per atom: -0.371
Size of the total moment in μB per cell: 0.00